[1]
First-principles (PBE) data for an optimized crystal structure of FeSiTcNi, as listed in Alexandria.

abc: 4.115 4.115 4.115
angles: 60.00 60.00 60.00
Site moments in Bohr magnetons follow the coordinates.
Atoms (fractional coordinates):
Ni (0.500, 0.500, 0.500)  0.35
Si (0.750, 0.750, 0.750)  0.04
Tc (0.000, 0.000, 0.000)  0.33
Fe (0.250, 0.250, 0.250)  2.62

raw total energy	-7.73	eV/atom
space group	No. 216
crystal system	cubic
ΔE_f (raw)	-0.906	eV per formula unit
magnetization	0.848	μB per atom


[2]
First-principles (PBE) data for an optimized crystal structure of NdCd11Pd, as listed in Alexandria.

abc: 5.759 7.625 7.652
angles: 81.92 67.89 68.06
Atoms (fractional coordinates):
Nd (0.000, 0.000, 0.000)
Cd (0.296, 0.216, 0.209)
Cd (0.704, 0.784, 0.791)
Cd (0.495, 0.784, 0.209)
Cd (0.505, 0.216, 0.791)
Cd (0.362, 0.643, 0.658)
Cd (0.638, 0.357, 0.342)
Cd (0.980, 0.357, 0.658)
Cd (0.020, 0.643, 0.342)
Cd (0.000, 0.500, 0.000)
Cd (0.500, 0.000, 0.500)
Cd (0.000, 0.000, 0.500)
Pd (0.500, 0.500, 0.000)

raw total energy	-1.72	eV/atom
energy relative to the elements	-0.183	eV/atom
space group	No. 12
crystal system	monoclinic
magnetization	0.000	μB per atom


[3]
First-principles (PBE) data for an optimized crystal structure of PmScCuAg, as listed in Alexandria.

abc: 4.983 4.983 4.983
angles: 60.00 60.00 60.00
Atoms (fractional coordinates):
Sc (0.250, 0.250, 0.250)
Cu (0.500, 0.500, 0.500)
Ag (0.000, 0.000, 0.000)
Pm (0.750, 0.750, 0.750)

raw total energy	-4.69	eV/atom
energy relative to the elements	-0.183	eV/atom
space group	No. 216
crystal system	cubic
magnetization	0.000	μB per atom


[4]
First-principles (PBE) data for an optimized crystal structure of TlHgW2, as listed in Alexandria.

abc: 2.934 2.934 9.942
angles: 90.00 90.00 117.02
Atoms (fractional coordinates):
Hg (0.500, 0.500, 0.250)
Tl (0.500, 0.500, 0.750)
W (0.000, 0.000, 0.002)
W (0.000, 0.000, 0.498)

relative energy among the computed polymorphs	435	meV/atom
raw total energy	-6.11	eV/atom
energy relative to the elements	1.030	eV/atom
space group	No. 65
crystal system	orthorhombic
magnetization	0.000	μB per atom


[5]
First-principles (PBE) data for an optimized crystal structure of Tb2SmNpSb4, as listed in Alexandria.

abc: 4.416 7.656 7.653
angles: 109.33 90.00 90.00
Site moments in Bohr magnetons follow the coordinates.
Atoms (fractional coordinates):
Tb (0.500, 0.000, 0.500)  0.00
Tb (0.000, 0.500, 0.500)  -0.02
Sm (0.500, 0.500, 0.000)  0.01
Np (0.000, 0.000, 0.000)  3.87
Sb (0.500, 0.248, 0.251)  -0.05
Sb (0.500, 0.752, 0.749)  -0.05
Sb (0.000, 0.246, 0.748)  -0.03
Sb (0.000, 0.754, 0.252)  -0.03

raw total energy	-6.34	eV/atom
space group	No. 10
crystal system	monoclinic
ΔE_f (raw)	-7.275	eV per formula unit
magnetization	0.487	μB per atom


[6]
First-principles (PBE) data for an optimized crystal structure of LaTcCl3, as listed in Alexandria.

abc: 5.596 5.596 5.596
angles: 90.00 90.00 90.00
Site moments in Bohr magnetons follow the coordinates.
Atoms (fractional coordinates):
Cl (0.000, 0.500, 0.000)  0.05
Cl (0.000, 0.000, 0.500)  0.03
Cl (0.500, 0.000, 0.000)  0.03
Tc (0.500, 0.500, 0.500)  3.88
La (0.000, 0.000, 0.000)  -0.11

relative energy among the computed polymorphs	11	meV/atom
raw total energy	-4.71	eV/atom
space group	No. 221
crystal system	cubic
ΔE_f (raw)	-2.721	eV per formula unit
magnetization	1.000	μB per atom


[7]
First-principles (PBE) data for an optimized crystal structure of BaSc2Ni, as listed in Alexandria.

abc: 4.984 4.984 3.845
angles: 90.00 90.00 90.00
Atoms (fractional coordinates):
Ba (0.500, 0.000, 0.500)
Ni (0.000, 0.500, 0.500)
Sc (0.000, 0.000, 0.000)
Sc (0.500, 0.500, 0.000)

relative energy among the computed polymorphs	536	meV/atom
raw total energy	-4.58	eV/atom
energy relative to the elements	0.515	eV/atom
space group	No. 123
crystal system	tetragonal
magnetization	0.000	μB per atom


[8]
First-principles (PBE) data for an optimized crystal structure of BeAsSe2O, as listed in Alexandria.

abc: 4.328 4.328 4.637
angles: 90.00 90.00 90.00
Atoms (fractional coordinates):
Be (0.000, 0.000, 0.000)
As (0.000, 0.000, 0.500)
O (0.500, 0.500, 0.500)
Se (0.000, 0.500, 0.000)
Se (0.500, 0.000, 0.000)

relative energy among the computed polymorphs	44	meV/atom
raw total energy	-3.30	eV/atom
space group	No. 123
crystal system	tetragonal
ΔE_f (raw)	3.826	eV per formula unit
magnetization	0.002	μB per atom